No. 1
Below is a geometry-optimized TaAlIn2Te structure, with properties calculated at the PBEsol level.

Results
E_tot in eV per atom: -4.614
Energy relative to the elements, uncorrected in eV per atom: 0.612
Space group: P4/mmm

Cell lengths 5.2056, 5.3968, 5.3968 Å; angles 90.00, 90.00, 90.00 degrees
With the nearest neighbours (Å) after each atom.
Element x y z (fractional)
Ta  0.0000  0.0000  0.0000  2 Te 2.60, 4 In 2.70
In  0.0000  0.0000  0.5000  2 Ta 2.70
In  0.0000  0.5000  0.0000  2 Ta 2.70
Al  0.5000  0.5000  0.5000  8 In 3.75, 4 Te 3.82
Te  0.5000  0.0000  0.0000  2 Ta 2.60

No. 2
Below is a geometry-optimized AlIn2Tc structure, with properties calculated at the PBEsol level.

Results
Formation enthalpy at 0 K in eV per atom: 0.300
E_tot in eV per atom: -5.031
Space group: P2/m

Cell lengths 2.9151, 4.9463, 5.0439 Å; angles 90.00, 93.25, 90.00 degrees
With the nearest neighbours (Å) after each atom.
Element x y z (fractional)
In  0.7694  0.0000  0.7440  6 In 2.84-3.10, 2 Al 2.85, 2 Tc 2.85
In  0.2306  0.0000  0.2560  6 In 2.84-3.10, 2 Al 2.85, 2 Tc 2.85
Tc  0.5000  0.5000  0.5000  4 Al 2.84-2.98, 4 In 2.85, 2 Tc 2.92
Al  0.0000  0.5000  0.0000  4 Tc 2.84-2.98, 4 In 2.85, 2 Al 2.92

No. 3
Below is a geometry-optimized AlIn2Tc structure, with properties calculated at the PBEsol level.

Results
Formation enthalpy at 0 K in eV per atom: 0.154
E_tot in eV per atom: -5.177
Space group: I-4m2

Cell lengths 4.0507, 4.0507, 5.1183 Å; angles 113.31, 113.31, 90.00 degrees
With the nearest neighbours (Å) after each atom.
Element x y z (fractional)
Tc  0.5000  0.5000  0.0000  8 In 2.86-2.93, 4 Al 2.93
In  0.7500  0.2500  0.5000  4 Al 2.86, 4 Tc 2.93, 4 In 2.93
In  0.0000  0.0000  0.0000  4 Tc 2.86, 4 In 2.93, 4 Al 2.93
Al  0.2500  0.7500  0.5000  8 In 2.86-2.93, 4 Tc 2.93

No. 4
Below is a geometry-optimized AlIn2Tc structure, with properties calculated at the PBEsol level.

Results
Formation enthalpy at 0 K in eV per atom: 0.134
E_tot in eV per atom: -5.196
Space group: P4/mmm

Cell lengths 3.5720, 3.5720, 5.5828 Å; angles 90.00, 90.00, 90.00 degrees
With the nearest neighbours (Å) after each atom.
Element x y z (fractional)
In  0.0000  0.0000  0.7556  2 In 2.73-2.85, 4 Tc 2.87, 4 Al 2.90
In  0.0000  0.0000  0.2444  2 In 2.73-2.85, 4 Tc 2.87, 4 Al 2.90
Al  0.5000  0.5000  0.5000  2 Tc 2.79, 8 In 2.90
Tc  0.5000  0.5000  0.0000  2 Al 2.79, 8 In 2.87

No. 5
Below is a geometry-optimized AlIn2Tc structure, with properties calculated at the PBEsol level.

Results
Formation enthalpy at 0 K in eV per atom: 0.243
E_tot in eV per atom: -5.087
Space group: C2/m

Cell lengths 3.0202, 4.8888, 5.1429 Å; angles 97.96, 107.08, 90.00 degrees
With the nearest neighbours (Å) after each atom.
Element x y z (fractional)
Al  0.0000  0.5000  0.0000  6 In 2.83-3.09, 4 Tc 2.87, 2 Al 3.02
In  0.2386  0.2399  0.4771  3 Al 2.83-3.09, 6 In 2.83-3.02, 3 Tc 2.89-2.98
In  0.7614  0.7601  0.5229  3 Al 2.83-3.09, 6 In 2.83-3.02, 3 Tc 2.89-2.98
Tc  0.5000  0.0000  0.0000  4 Al 2.87, 6 In 2.89-2.98, 2 Tc 3.02

No. 6
Below is a geometry-optimized Al2InTe structure, with properties calculated at the PBEsol level.

Results
ΔE to the lowest computed polymorph in kJ/mol of atoms: 19.67
E_tot in eV per atom: -3.418
Energy relative to the elements, uncorrected in eV per atom: 0.255
Space group: F-43m

Cell lengths 5.0395, 5.0395, 5.0395 Å; angles 60.00, 60.00, 60.00 degrees
With the nearest neighbours (Å) after each atom.
Element x y z (fractional)
Al  0.0000  0.0000  0.0000  4 Te 3.09, 4 Al 3.09
Al  0.2500  0.2500  0.2500  4 Al 3.09, 4 In 3.09
Te  0.7500  0.7500  0.7500  4 In 3.09, 4 Al 3.09
In  0.5000  0.5000  0.5000  4 Al 3.09, 4 Te 3.09

No. 7
Below is a geometry-optimized Al2InTe structure, with properties calculated at the PBEsol level.

Results
ΔE to the lowest computed polymorph in kJ/mol of atoms: 0.00
E_tot in eV per atom: -3.622
Energy relative to the elements, uncorrected in eV per atom: 0.051
Space group: R3m

Cell lengths 3.8284, 3.8284, 7.8643 Å; angles 75.91, 75.91, 60.00 degrees
With the nearest neighbours (Å) after each atom.
Element x y z (fractional)
Te  0.2614  0.2614  0.2158  3 Al 2.76
Al  0.7434  0.7434  0.7697  3 Al 2.79, 3 In 2.91
Al  0.0013  0.0013  0.9961  3 Te 2.76, 3 Al 2.79
In  0.4939  0.4939  0.5184  3 Al 2.91, 3 Te 3.18

No. 8
Below is a geometry-optimized Al2InTe structure, with properties calculated at the PBEsol level.

Results
ΔE to the lowest computed polymorph in kJ/mol of atoms: 11.92
E_tot in eV per atom: -3.498
Energy relative to the elements, uncorrected in eV per atom: 0.175
Space group: I-42d

Cell lengths 6.3306, 6.3306, 7.5423 Å; angles 114.81, 114.81, 90.00 degrees
With the nearest neighbours (Å) after each atom.
Element x y z (fractional)
Te  0.0000  0.0000  0.0000  4 Al 2.74
Te  0.2500  0.7500  0.5000  4 Al 2.74
In  0.5000  0.5000  0.0000  4 Al 2.67
In  0.7500  0.2500  0.5000  4 Al 2.67
Al  0.6250  0.6157  0.7500  2 In 2.67, 2 Te 2.74
Al  0.1250  0.1343  0.7500  2 In 2.67, 2 Te 2.74
Al  0.3843  0.8750  0.2500  2 In 2.67, 2 Te 2.74
Al  0.8657  0.3750  0.2500  2 In 2.67, 2 Te 2.74

No. 9
Below is a geometry-optimized Al2In2Te structure, with properties calculated at the PBEsol level.

Results
E_tot in eV per atom: -3.365
Energy relative to the elements, uncorrected in eV per atom: 0.170
Space group: I4/mmm

Cell lengths 4.2679, 4.2679, 7.2165 Å; angles 107.20, 107.20, 90.00 degrees
With the nearest neighbours (Å) after each atom.
Element x y z (fractional)
Te  0.0000  0.0000  0.0000  8 Al 3.27
Al  0.4032  0.4032  0.8065  1 Al 2.54
Al  0.5968  0.5968  0.1935  1 Al 2.54
In  0.7500  0.2500  0.5000  4 Al 2.93, 4 In 3.02
In  0.2500  0.7500  0.5000  4 Al 2.93, 4 In 3.02

No. 10
Below is a geometry-optimized Al3InTe structure, with properties calculated at the PBEsol level.

Results
E_tot in eV per atom: -3.175
Energy relative to the elements, uncorrected in eV per atom: 0.581
Space group: Pm-3m

Cell lengths 5.1675, 5.1675, 5.1675 Å; angles 90.00, 90.00, 90.00 degrees
With the nearest neighbours (Å) after each atom.
Element x y z (fractional)
Te  0.5000  0.5000  0.5000  12 Al 3.65
Al  0.5000  0.0000  0.0000  2 In 2.58
Al  0.0000  0.0000  0.5000  2 In 2.58
Al  0.0000  0.5000  0.0000  2 In 2.58
In  0.0000  0.0000  0.0000  6 Al 2.58

No. 11
Below is a geometry-optimized TiAl3In structure, with properties calculated at the PBEsol level.

Results
Formation enthalpy at 0 K in eV per atom: 1.204
E_tot in eV per atom: -3.512
Space group: Pm-3m

Cell lengths 5.0271, 5.0271, 5.0271 Å; angles 90.00, 90.00, 90.00 degrees
With the nearest neighbours (Å) after each atom.
Element x y z (fractional)
Ti  0.5000  0.5000  0.5000  12 Al 3.55
Al  0.0000  0.0000  0.5000  2 In 2.51
Al  0.0000  0.5000  0.0000  2 In 2.51
Al  0.5000  0.0000  0.0000  2 In 2.51
In  0.0000  0.0000  0.0000  6 Al 2.51

No. 12
Below is a geometry-optimized AlTl2In structure, with properties calculated at the PBEsol level.

Results
ΔE to the lowest computed polymorph in kJ/mol of atoms: 0.00
Formation enthalpy at 0 K in eV per atom: 0.112
E_tot in eV per atom: -2.972
Space group: Pmm2

Cell lengths 3.3623, 3.5745, 8.3111 Å; angles 90.00, 90.00, 90.00 degrees
With the nearest neighbours (Å) after each atom.
Element x y z (fractional)
Tl  0.5000  0.5000  0.2831  4 Al 3.10, 6 Tl 3.36-3.47
Tl  0.0000  0.0000  0.9879  4 In 3.33, 8 Tl 3.36-3.57
In  0.5000  0.5000  0.7172  4 Al 2.99, 4 Tl 3.33
Al  0.0000  0.0000  0.5118  4 In 2.99, 4 Tl 3.10

No. 13
Below is a geometry-optimized Al4TlIn structure, with properties calculated at the PBEsol level.

Results
Formation enthalpy at 0 K in eV per atom: 0.180
E_tot in eV per atom: -3.483
Space group: F-43m

Cell lengths 5.5844, 5.5844, 5.5844 Å; angles 60.00, 60.00, 60.00 degrees
With the nearest neighbours (Å) after each atom.
Element x y z (fractional)
In  0.7500  0.7500  0.7500  12 Al 3.27, 4 Tl 3.42
Al  0.8750  0.3750  0.3750  6 Al 2.79
Al  0.3750  0.3750  0.8750  6 Al 2.79
Al  0.3750  0.3750  0.3750  6 Al 2.79
Al  0.3750  0.8750  0.3750  6 Al 2.79
Tl  0.0000  0.0000  0.0000  12 Al 3.27, 4 In 3.42

No. 14
Below is a geometry-optimized AlTl3In structure, with properties calculated at the PBEsol level.

Results
Formation enthalpy at 0 K in eV per atom: 0.332
E_tot in eV per atom: -2.661
Space group: Pm-3m

Cell lengths 5.3292, 5.3292, 5.3292 Å; angles 90.00, 90.00, 90.00 degrees
With the nearest neighbours (Å) after each atom.
Element x y z (fractional)
In  0.5000  0.5000  0.5000  12 Tl 3.77
Al  0.0000  0.0000  0.0000  6 Tl 2.66
Tl  0.5000  0.0000  0.0000  2 Al 2.66
Tl  0.0000  0.0000  0.5000  2 Al 2.66
Tl  0.0000  0.5000  0.0000  2 Al 2.66